Record 1
{
  "formula": "Gd2TmScAl2",
  "functional": "GGA-PBE",
  "state": "optimized geometry",
  "e_tot_ev_per_atom": -4.873,
  "m_tot_mub_per_cell": 0.0,
  "lattice_angstrom": [[5.152, 0.000, 0.000], [-2.576, 4.462, 0.000], [0.000, 0.000, 6.581]],
  "species": ["Gd", "Gd", "Tm", "Sc", "Al", "Al"],
  "fractional_positions": [[0.000, 0.000, 0.244], [0.000, 0.000, 0.756], [0.667, 0.333, 0.500], [0.333, 0.667, 0.000], [0.333, 0.667, 0.500], [0.667, 0.333, 0.000]]
}



Record 2
{
  "formula": "ZnCoRePt",
  "functional": "GGA-PBE",
  "state": "optimized geometry",
  "ef_ev_per_atom": 0.224,
  "de_polymorph_ev_per_atom": 0.000,
  "m_tot_mub_per_cell": 2.3,
  "lattice_angstrom": [[0.000, 3.030, 3.030], [3.030, 0.000, 3.030], [3.030, 3.030, 0.000]],
  "species": ["Zn", "Co", "Re", "Pt"],
  "fractional_positions": [[0.000, 0.000, 0.000], [0.250, 0.250, 0.250], [0.500, 0.500, 0.500], [0.750, 0.750, 0.750]]
}



Record 3
{
  "formula": "YCuBiPd",
  "functional": "GGA-PBE",
  "state": "optimized geometry",
  "de_polymorph_ev_per_atom": 0.000,
  "m_tot_mub_per_cell": 0.0,
  "lattice_angstrom": [[0.000, 3.450, 3.450], [3.450, 0.000, 3.450], [3.450, 3.450, 0.000]],
  "species": ["Y", "Cu", "Bi", "Pd"],
  "fractional_positions": [[0.000, 0.000, 0.000], [0.750, 0.750, 0.750], [0.500, 0.500, 0.500], [0.250, 0.250, 0.250]]
}



Record 4
{
  "formula": "BaNaPbAu",
  "functional": "GGA-PBE",
  "state": "optimized geometry",
  "de_polymorph_ev_per_atom": 0.090,
  "lattice_angstrom": [[0.000, 3.850, 3.850], [3.850, 0.000, 3.850], [3.850, 3.850, 0.000]],
  "species": ["Ba", "Na", "Pb", "Au"],
  "fractional_positions": [[0.000, 0.000, 0.000], [0.750, 0.750, 0.750], [0.250, 0.250, 0.250], [0.500, 0.500, 0.500]]
}



Record 5
{
  "formula": "Li2LaAu2",
  "functional": "GGA-PBE",
  "state": "optimized geometry",
  "e_tot_ev_per_atom": -3.694,
  "m_tot_mub_per_cell": 0.0,
  "lattice_angstrom": [[-2.010, 2.010, 6.567], [2.010, -2.010, 6.567], [2.010, 2.010, -6.567]],
  "species": ["Li", "Li", "La", "Au", "Au"],
  "fractional_positions": [[0.250, 0.750, 0.500], [0.750, 0.250, 0.500], [0.000, 0.000, 0.000], [0.388, 0.388, 0.000], [0.612, 0.612, 0.000]]
}



Record 6
{
  "formula": "NiB4Pt",
  "functional": "GGA-PBE",
  "state": "optimized geometry",
  "de_polymorph_ev_per_atom": 0.002,
  "m_tot_mub_per_cell": 0.0,
  "lattice_angstrom": [[-1.473, 2.679, 3.359], [1.473, -2.679, 3.359], [1.473, 2.679, -3.359]],
  "species": ["Ni", "B", "B", "B", "B", "Pt"],
  "fractional_positions": [[0.000, 0.000, 0.000], [0.075, 0.734, 0.341], [0.393, 0.734, 0.659], [0.607, 0.266, 0.341], [0.925, 0.266, 0.659], [0.500, 0.500, 0.000]]
}



Record 7
{
  "formula": "Pa2Tl2O5",
  "functional": "GGA-PBE",
  "state": "optimized geometry",
  "de_polymorph_ev_per_atom": 0.000,
  "m_tot_mub_per_cell": 0.0,
  "lattice_angstrom": [[4.350, 0.000, 0.000], [0.000, 4.350, 0.000], [0.000, 0.000, 8.979]],
  "species": ["Pa", "Pa", "Tl", "Tl", "O", "O", "O", "O", "O"],
  "fractional_positions": [[0.000, 0.000, 0.246], [0.000, 0.000, 0.754], [0.500, 0.500, 0.000], [0.500, 0.500, 0.500], [0.000, 0.000, 0.000], [0.000, 0.500, 0.237], [0.000, 0.500, 0.763], [0.500, 0.000, 0.237], [0.500, 0.000, 0.763]]
}



Record 8
{
  "formula": "Mo2AsP",
  "functional": "GGA-PBE",
  "state": "optimized geometry",
  "e_tot_ev_per_atom": -7.841,
  "m_tot_mub_per_cell": 0.0,
  "lattice_angstrom": [[-1.915, 1.915, 8.472], [1.915, -1.915, 8.472], [1.915, 1.915, -8.472]],
  "species": ["Mo", "Mo", "Mo", "Mo", "As", "As", "P", "P"],
  "fractional_positions": [[0.000, 0.500, 0.500], [0.134, 0.134, 0.000], [0.500, 0.000, 0.500], [0.866, 0.866, 0.000], [0.250, 0.750, 0.500], [0.750, 0.250, 0.500], [0.399, 0.399, 0.000], [0.601, 0.601, 0.000]]
}



Record 9
{
  "formula": "Sm2ScP3",
  "functional": "GGA-PBE",
  "state": "optimized geometry",
  "e_tot_ev_per_atom": -6.849,
  "m_tot_mub_per_cell": 0.0,
  "lattice_angstrom": [[4.000, 0.000, 0.000], [-2.000, 3.464, 0.000], [0.000, 0.000, 9.745]],
  "species": ["Sm", "Sm", "Sc", "P", "P", "P"],
  "fractional_positions": [[0.333, 0.667, 0.324], [0.667, 0.333, 0.676], [0.000, 0.000, 0.000], [0.000, 0.000, 0.500], [0.333, 0.667, 0.852], [0.667, 0.333, 0.148]]
}



Record 10
{
  "formula": "LiPrTm",
  "functional": "GGA-PBE",
  "state": "optimized geometry",
  "de_polymorph_ev_per_atom": 0.000,
  "m_tot_mub_per_cell": 0.0,
  "lattice_angstrom": [[0.000, 3.591, 3.591], [3.591, 0.000, 3.591], [3.591, 3.591, 0.000]],
  "species": ["Li", "Pr", "Tm"],
  "fractional_positions": [[0.000, 0.000, 0.000], [0.750, 0.750, 0.750], [0.250, 0.250, 0.250]]
}



Record 11
{
  "formula": "Tb2GdGa3NiGe2",
  "functional": "GGA-PBE",
  "state": "optimized geometry",
  "e_tot_ev_per_atom": -4.926,
  "m_tot_mub_per_cell": 0.0,
  "lattice_angstrom": [[4.166, 0.000, 0.000], [0.000, 6.076, 3.507], [0.000, -6.076, 3.507]],
  "species": ["Tb", "Tb", "Gd", "Ga", "Ga", "Ga", "Ni", "Ge", "Ge"],
  "fractional_positions": [[0.000, 0.200, 0.800], [0.000, 0.800, 0.200], [0.000, 0.599, 0.599], [0.500, 0.200, 0.428], [0.500, 0.428, 0.200], [0.500, 0.971, 0.971], [0.000, 0.200, 0.200], [0.500, 0.533, 0.866], [0.500, 0.866, 0.533]]
}



Record 12
{
  "formula": "HfMg",
  "functional": "GGA-PBE",
  "state": "optimized geometry",
  "e_tot_ev_per_atom": -5.600,
  "m_tot_mub_per_cell": 0.7,
  "lattice_angstrom": [[6.276, 0.000, 0.000], [0.000, 16.665, 0.000], [0.000, 0.000, 5.018]],
  "species": ["Hf", "Hf", "Hf", "Hf", "Hf", "Hf", "Hf", "Hf", "Hf", "Hf", "Hf", "Hf", "Mg", "Mg", "Mg", "Mg", "Mg", "Mg", "Mg", "Mg", "Mg", "Mg", "Mg", "Mg"],
  "fractional_positions": [[0.123, 0.028, 0.250], [0.123, 0.472, 0.750], [0.374, 0.523, 0.250], [0.374, 0.977, 0.750], [0.376, 0.192, 0.250], [0.376, 0.308, 0.750], [0.624, 0.692, 0.250], [0.624, 0.808, 0.750], [0.626, 0.023, 0.250], [0.626, 0.477, 0.750], [0.877, 0.528, 0.250], [0.877, 0.972, 0.750], [0.127, 0.692, 0.250], [0.127, 0.808, 0.750], [0.129, 0.140, 0.750], [0.129, 0.360, 0.250], [0.378, 0.638, 0.750], [0.378, 0.862, 0.250], [0.622, 0.138, 0.750], [0.622, 0.362, 0.250], [0.871, 0.640, 0.750], [0.871, 0.860, 0.250], [0.873, 0.192, 0.250], [0.873, 0.308, 0.750]]
}



Q: What is the formula in the tenth record?
A: LiPrTm